1.
Entry from the Alexandria database: a relaxed BeCdP2 crystal (PBE).

Relative energy among the computed polymorphs (meV per atom): 652.9
N(E_F) (states/eV per cell): 1.91
ΔH_f (0 K) (kJ/mol of atoms): 69.6
Spin magnetization (Bohr magnetons per cell): 0.0
Crystal system: cubic

Lattice parameters (Å, degrees): 4.505 4.505 4.505 60.00 60.00 60.00
Fractional coordinates of all 4 atoms:
Be 0.000 0.000 0.000
Cd 0.500 0.500 0.500
P 0.250 0.250 0.250
P 0.750 0.750 0.750

2.
Entry from the Alexandria database: a relaxed Zn2HgPt crystal (PBE).

N(E_F) (states/eV per cell): 1.27
ΔH_f (0 K) (kJ/mol of atoms): -6.0
Spin magnetization (Bohr magnetons per cell): 0.0
Crystal system: tetragonal

Lattice parameters (Å, degrees): 2.934 2.934 7.937 90.00 90.00 90.00
Fractional coordinates of all 4 atoms:
Zn 0.000 0.000 0.000
Zn 0.500 0.500 0.234
Hg 0.000 0.000 0.517
Pt 0.500 0.500 0.794

3.
Entry from the Alexandria database: a relaxed ErTm2Th8 crystal (PBE).

N(E_F) (states/eV per cell): 18.85
ΔH_f (0 K) (kJ/mol of atoms): 25.4
Spin magnetization (Bohr magnetons per cell): 0.0
Crystal system: monoclinic

Lattice parameters (Å, degrees): 9.198 9.198 5.924 103.46 103.46 123.32
Fractional coordinates of all 11 atoms:
Er 0.000 0.000 0.000
Tm 0.304 0.696 0.500
Tm 0.696 0.304 0.500
Th 0.100 0.325 0.667
Th 0.208 0.792 0.000
Th 0.325 0.100 0.667
Th 0.413 0.413 0.206
Th 0.587 0.587 0.794
Th 0.675 0.900 0.333
Th 0.792 0.208 0.000
Th 0.900 0.675 0.333

4.
Entry from the Alexandria database: a relaxed PmNdBeCd crystal (PBE).

N(E_F) (states/eV per cell): 4.84
ΔH_f (0 K) (kJ/mol of atoms): 0.4
Spin magnetization (Bohr magnetons per cell): 0.0
Crystal system: cubic

Lattice parameters (Å, degrees): 5.235 5.235 5.235 60.00 60.00 60.00
Fractional coordinates of all 4 atoms:
Pm 0.000 0.000 0.000
Nd 0.500 0.500 0.500
Be 0.750 0.750 0.750
Cd 0.250 0.250 0.250

5.
Entry from the Alexandria database: a relaxed Cu2PS4 crystal (PBE).

E_form (uncorrected) (eV/atom): -0.236
N(E_F) (states/eV per cell): 8.91
Spin magnetization (Bohr magnetons per cell): 0.0
Crystal system: tetragonal

Lattice parameters (Å, degrees): 5.993 5.993 5.993 124.87 124.87 81.76
Fractional coordinates of all 7 atoms:
Cu 0.250 0.750 0.500
Cu 0.750 0.250 0.500
P 0.000 0.000 0.000
S 0.104 0.655 0.000
S 0.345 0.345 0.448
S 0.655 0.104 0.000
S 0.896 0.896 0.552

6.
Entry from the Alexandria database: a relaxed TeCCl3 crystal (PBE).

Relative energy among the computed polymorphs (meV per atom): 130.3
E_form (uncorrected) (eV/atom): 1.229
N(E_F) (states/eV per cell): 19.69
Spin magnetization (Bohr magnetons per cell): 1.9
Crystal system: cubic

Lattice parameters (Å, degrees): 5.304 5.304 5.304 90.00 90.00 90.00
Fractional coordinates of all 5 atoms:
Te 0.000 0.000 0.000
C 0.500 0.500 0.500
Cl 0.000 0.000 0.500
Cl 0.000 0.500 0.000
Cl 0.500 0.000 0.000

7.
Entry from the Alexandria database: a relaxed Cs3Ce3PmS8 crystal (PBE).

E_form (uncorrected) (eV/atom): -1.818
N(E_F) (states/eV per cell): 13.02
Spin magnetization (Bohr magnetons per cell): 2.0
Crystal system: trigonal

Lattice parameters (Å, degrees): 9.486 9.486 9.486 52.54 52.54 52.54
Fractional coordinates of all 15 atoms:
Cs 0.000 0.500 0.500
Cs 0.500 0.000 0.500
Cs 0.500 0.500 0.000
Ce 0.000 0.000 0.500
Ce 0.000 0.500 0.000
Ce 0.500 0.000 0.000
Pm 0.500 0.500 0.500
S 0.224 0.727 0.727
S 0.227 0.227 0.227
S 0.273 0.273 0.776
S 0.273 0.776 0.273
S 0.727 0.224 0.727
S 0.727 0.727 0.224
S 0.773 0.773 0.773
S 0.776 0.273 0.273

8.
Entry from the Alexandria database: a relaxed Ba2Ta2Sn crystal (PBE).

Relative energy among the computed polymorphs (meV per atom): 599.5
N(E_F) (states/eV per cell): 15.02
ΔH_f (0 K) (kJ/mol of atoms): 100.7
Spin magnetization (Bohr magnetons per cell): 0.0
Crystal system: tetragonal

Lattice parameters (Å, degrees): 10.074 10.074 3.298 90.00 90.00 90.00
Fractional coordinates of all 10 atoms:
Ba 0.205 0.295 0.000
Ba 0.295 0.795 0.000
Ba 0.705 0.205 0.000
Ba 0.795 0.705 0.000
Ta 0.084 0.584 0.500
Ta 0.416 0.084 0.500
Ta 0.584 0.916 0.500
Ta 0.916 0.416 0.500
Sn 0.000 0.000 0.000
Sn 0.500 0.500 0.000

9.
Entry from the Alexandria database: a relaxed LiPm2Ge3 crystal (PBE).

Relative energy among the computed polymorphs (meV per atom): 169.7
N(E_F) (states/eV per cell): 6.89
ΔH_f (0 K) (kJ/mol of atoms): -52.5
Spin magnetization (Bohr magnetons per cell): 0.0
Crystal system: monoclinic

Lattice parameters (Å, degrees): 6.157 6.157 8.811 106.92 106.92 58.79
Fractional coordinates of all 12 atoms:
Li 0.173 0.827 0.750
Li 0.827 0.173 0.250
Pm 0.266 0.360 0.904
Pm 0.360 0.266 0.404
Pm 0.640 0.734 0.596
Pm 0.734 0.640 0.096
Ge 0.052 0.179 0.574
Ge 0.179 0.052 0.074
Ge 0.321 0.679 0.250
Ge 0.679 0.321 0.750
Ge 0.821 0.948 0.926
Ge 0.948 0.821 0.426

10.
Entry from the Alexandria database: a relaxed NaNbNi2 crystal (PBE).

Relative energy among the computed polymorphs (meV per atom): 0.0
N(E_F) (states/eV per cell): 3.50
ΔH_f (0 K) (kJ/mol of atoms): 37.0
Spin magnetization (Bohr magnetons per cell): 0.0
Crystal system: cubic

Lattice parameters (Å, degrees): 4.372 4.372 4.372 60.00 60.00 60.00
Fractional coordinates of all 4 atoms:
Na 0.000 0.000 0.000
Nb 0.500 0.500 0.500
Ni 0.250 0.250 0.250
Ni 0.750 0.750 0.750

11.
Entry from the Alexandria database: a relaxed HfSbTe2Pt crystal (PBE).

Relative energy among the computed polymorphs (meV per atom): 0.0
E_form (uncorrected) (eV/atom): 0.487
N(E_F) (states/eV per cell): 3.91
Spin magnetization (Bohr magnetons per cell): 0.0
Crystal system: tetragonal

Lattice parameters (Å, degrees): 5.286 5.286 5.113 90.00 90.00 90.00
Fractional coordinates of all 5 atoms:
Hf 0.000 0.000 0.000
Sb 0.500 0.500 0.000
Te 0.000 0.500 0.500
Te 0.500 0.000 0.500
Pt 0.500 0.500 0.500

12.
Entry from the Alexandria database: a relaxed K3Sr3TcO8 crystal (PBE).

E_form (uncorrected) (eV/atom): -1.992
Spin magnetization (Bohr magnetons per cell): 0.0
Crystal system: trigonal

Lattice parameters (Å, degrees): 7.511 7.511 7.511 57.22 57.22 57.22
Fractional coordinates of all 15 atoms:
K 0.000 0.500 0.500
K 0.500 0.000 0.500
K 0.500 0.500 0.000
Sr 0.000 0.000 0.500
Sr 0.000 0.500 0.000
Sr 0.500 0.000 0.000
Tc 0.500 0.500 0.500
O 0.234 0.234 0.234
O 0.302 0.686 0.686
O 0.314 0.314 0.698
O 0.314 0.698 0.314
O 0.686 0.302 0.686
O 0.686 0.686 0.302
O 0.698 0.314 0.314
O 0.766 0.766 0.766

13.
Entry from the Alexandria database: a relaxed LiCe2NpS6 crystal (PBE).

E_form (uncorrected) (eV/atom): -1.331
N(E_F) (states/eV per cell): 17.17
Spin magnetization (Bohr magnetons per cell): 4.0
Crystal system: tetragonal

Lattice parameters (Å, degrees): 6.243 6.243 6.552 90.00 90.00 90.00
Fractional coordinates of all 10 atoms:
Li 0.000 0.000 0.000
Ce 0.000 0.500 0.468
Ce 0.500 0.000 0.468
Np 0.500 0.500 0.044
S 0.000 0.000 0.636
S 0.241 0.241 0.210
S 0.241 0.759 0.210
S 0.500 0.500 0.636
S 0.759 0.241 0.210
S 0.759 0.759 0.210

14.
Entry from the Alexandria database: a relaxed LaTeSeN2 crystal (PBE).

Relative energy among the computed polymorphs (meV per atom): 502.3
E_form (uncorrected) (eV/atom): 0.761
N(E_F) (states/eV per cell): 4.23
Spin magnetization (Bohr magnetons per cell): 0.2
Crystal system: tetragonal

Lattice parameters (Å, degrees): 4.202 4.202 7.447 90.00 90.00 90.00
Fractional coordinates of all 5 atoms:
La 0.000 0.000 0.000
Te 0.000 0.000 0.500
Se 0.500 0.500 0.500
N 0.000 0.500 0.000
N 0.500 0.000 0.000

15.
Entry from the Alexandria database: a relaxed PaBeCo crystal (PBE).

Relative energy among the computed polymorphs (meV per atom): 0.0
N(E_F) (states/eV per cell): 6.38
ΔH_f (0 K) (kJ/mol of atoms): -28.9
Spin magnetization (Bohr magnetons per cell): 0.0
Crystal system: orthorhombic

Lattice parameters (Å, degrees): 6.797 4.148 6.212 90.00 90.00 90.00
Fractional coordinates of all 12 atoms:
Pa 0.021 0.250 0.168
Pa 0.479 0.750 0.668
Pa 0.521 0.250 0.332
Pa 0.979 0.750 0.832
Be 0.188 0.250 0.614
Be 0.312 0.750 0.114
Be 0.688 0.250 0.886
Be 0.812 0.750 0.386
Co 0.140 0.750 0.443
Co 0.360 0.250 0.943
Co 0.640 0.750 0.057
Co 0.860 0.250 0.557

16.
Entry from the Alexandria database: a relaxed Ta2MnW crystal (PBE).

N(E_F) (states/eV per cell): 2.94
ΔH_f (0 K) (kJ/mol of atoms): -12.5
Spin magnetization (Bohr magnetons per cell): 0.0
Crystal system: tetragonal

Lattice parameters (Å, degrees): 3.160 3.160 6.345 90.00 90.00 90.00
Fractional coordinates of all 4 atoms:
Ta 0.000 0.000 0.239
Ta 0.000 0.000 0.761
Mn 0.500 0.500 0.000
W 0.500 0.500 0.500

17.
Entry from the Alexandria database: a relaxed CsKNa2 crystal (PBE).

Relative energy among the computed polymorphs (meV per atom): 145.0
N(E_F) (states/eV per cell): 3.05
ΔH_f (0 K) (kJ/mol of atoms): 16.0
Spin magnetization (Bohr magnetons per cell): 0.0
Crystal system: orthorhombic

Lattice parameters (Å, degrees): 9.087 9.087 9.087 152.24 131.34 56.95
Fractional coordinates of all 4 atoms:
Cs 0.000 0.000 0.000
K 0.500 0.500 0.000
Na 0.263 0.263 0.000
Na 0.737 0.737 0.000

18.
Entry from the Alexandria database: a relaxed Ag2TePt crystal (PBE).

E_form (uncorrected) (eV/atom): 0.137
N(E_F) (states/eV per cell): 0.83
Spin magnetization (Bohr magnetons per cell): 0.0
Crystal system: trigonal

Lattice parameters (Å, degrees): 8.939 8.939 8.939 21.27 21.27 21.27
Fractional coordinates of all 4 atoms:
Ag 0.000 0.000 0.000
Ag 0.251 0.251 0.251
Te 0.765 0.765 0.765
Pt 0.504 0.504 0.504

19.
Entry from the Alexandria database: a relaxed PuScNiIr crystal (PBE).

N(E_F) (states/eV per cell): 9.29
ΔH_f (0 K) (kJ/mol of atoms): -44.8
Spin magnetization (Bohr magnetons per cell): 5.4
Crystal system: cubic

Lattice parameters (Å, degrees): 4.685 4.685 4.685 60.00 60.00 60.00
Fractional coordinates of all 4 atoms:
Pu 0.000 0.000 0.000
Sc 0.500 0.500 0.500
Ni 0.250 0.250 0.250
Ir 0.750 0.750 0.750

20.
Entry from the Alexandria database: a relaxed CuSiTc2 crystal (PBE).

E_form (uncorrected) (eV/atom): 0.355
N(E_F) (states/eV per cell): 7.20
Spin magnetization (Bohr magnetons per cell): 0.0
Crystal system: tetragonal

Lattice parameters (Å, degrees): 5.438 5.438 5.438 102.47 102.47 124.63
Fractional coordinates of all 8 atoms:
Cu 0.000 0.000 0.000
Cu 0.750 0.250 0.500
Si 0.250 0.750 0.500
Si 0.500 0.500 0.000
Tc 0.155 0.625 0.030
Tc 0.375 0.405 0.530
Tc 0.595 0.125 0.970
Tc 0.875 0.845 0.470